# CsPb3O PBE-GGA optimized geometry
data_CsPb3O
_chemical_formula_sum 'Cs1 Pb3 O1'
_cell_length_a 6.4220
_cell_length_b 6.4220
_cell_length_c 6.4220
_cell_angle_alpha 90.00
_cell_angle_beta 90.00
_cell_angle_gamma 90.00
_space_group_name_H-M_alt 'P 1'
_space_group_IT_number 1
loop_
_space_group_symop_operation_xyz
'x,y,z'
loop_
_atom_site_label
_atom_site_fract_x
_atom_site_fract_y
_atom_site_fract_z
Pb1 0.0000 0.5000 0.0000
Pb2 0.0000 0.0000 0.5000
Pb3 0.5000 0.0000 0.0000
Cs1 0.0000 0.0000 0.0000
O1 0.5000 0.5000 0.5000
# Raw total energy = -1.672 eV/atom
# Uncorrected formation energy = 8.58 eV per formula unit
# N(E_F) = 3.6898 states/eV per atom
# Total magnetic moment = 0.00 Bohr magnetons per cell
# Excess energy over the best structure of this formula in the dataset = 1835.0 meV per atom


# Tl3Ga5F12 PBE-GGA optimized geometry
data_Tl3Ga5F12
_chemical_formula_sum 'Tl12 Ga20 F48'
_cell_length_a 12.9028
_cell_length_b 12.9028
_cell_length_c 12.9028
_cell_angle_alpha 109.47
_cell_angle_beta 109.47
_cell_angle_gamma 109.47
_space_group_name_H-M_alt 'P 1'
_space_group_IT_number 1
loop_
_space_group_symop_operation_xyz
'x,y,z'
loop_
_atom_site_label
_atom_site_fract_x
_atom_site_fract_y
_atom_site_fract_z
Tl1 0.7500 0.3750 0.1250
Tl2 0.8750 0.7500 0.1250
Tl3 0.3750 0.7500 0.6250
Tl4 0.2500 0.1250 0.3750
Tl5 0.8750 0.1250 0.2500
Tl6 0.3750 0.6250 0.2500
Tl7 0.6250 0.3750 0.7500
Tl8 0.1250 0.8750 0.7500
Tl9 0.7500 0.8750 0.6250
Tl10 0.6250 0.2500 0.3750
Tl11 0.1250 0.2500 0.8750
Tl12 0.2500 0.6250 0.8750
Ga1 0.1250 0.3750 0.2500
Ga2 0.0000 0.5000 0.0000
Ga3 0.0000 0.0000 0.0000
Ga4 0.3750 0.2500 0.1250
Ga5 0.5000 0.0000 0.5000
Ga6 0.5000 0.5000 0.0000
Ga7 0.1250 0.7500 0.3750
Ga8 0.7500 0.1250 0.8750
Ga9 0.7500 0.6250 0.3750
Ga10 0.3750 0.1250 0.7500
Ga11 0.6250 0.8750 0.2500
Ga12 0.5000 0.5000 0.5000
Ga13 0.5000 0.0000 0.0000
Ga14 0.0000 0.0000 0.5000
Ga15 0.2500 0.3750 0.6250
Ga16 0.2500 0.8750 0.1250
Ga17 0.0000 0.5000 0.5000
Ga18 0.8750 0.2500 0.6250
Ga19 0.6250 0.7500 0.8750
Ga20 0.8750 0.6250 0.7500
F1 0.7159 0.1134 0.0003
F2 0.2844 0.5003 0.3869
F3 0.9997 0.3866 0.2841
F4 0.5003 0.2159 0.1134
F5 0.6025 0.7159 0.7156
F6 0.9997 0.6131 0.2156
F7 0.2844 0.7841 0.3975
F8 0.1131 0.8975 0.1134
F9 0.6131 0.9997 0.7156
F10 0.7159 0.6025 0.2156
F11 0.7841 0.4997 0.3866
F12 0.7844 0.8869 0.0003
F13 0.1134 0.7159 0.5003
F14 0.3866 0.3869 0.1025
F15 0.1025 0.8869 0.3866
F16 0.3975 0.1134 0.6131
F17 0.1025 0.2156 0.2159
F18 0.4997 0.7156 0.1131
F19 0.7844 0.8975 0.2841
F20 0.1134 0.3975 0.1131
F21 0.3866 0.9997 0.7841
F22 0.6131 0.6134 0.3975
F23 0.8869 0.7844 0.5003
F24 0.7841 0.2844 0.8975
F25 0.3869 0.3866 0.6025
F26 0.1131 0.2156 0.4997
F27 0.2159 0.7156 0.1025
F28 0.2156 0.1025 0.7159
F29 0.6134 0.0003 0.2159
F30 0.8866 0.6025 0.8869
F31 0.5003 0.2844 0.8869
F32 0.6025 0.8866 0.3869
F33 0.8975 0.7844 0.7841
F34 0.8975 0.1131 0.6134
F35 0.8866 0.2841 0.4997
F36 0.2156 0.1131 0.9997
F37 0.6134 0.6131 0.8975
F38 0.3869 0.0003 0.2844
F39 0.2841 0.3975 0.7844
F40 0.2159 0.5003 0.6134
F41 0.8869 0.1025 0.8866
F42 0.7156 0.2159 0.6025
F43 0.4997 0.7841 0.8866
F44 0.0003 0.3869 0.7844
F45 0.3975 0.2841 0.2844
F46 0.0003 0.6134 0.7159
F47 0.7156 0.4997 0.6131
F48 0.2841 0.8866 0.9997
# Raw total energy = -4.183 eV/atom
# Uncorrected formation energy = -38.97 eV per formula unit
# N(E_F) = 0.5293 states/eV per atom
# Total magnetic moment = 0.00 Bohr magnetons per cell


# V4FeMo2 PBE-GGA optimized geometry
data_V4FeMo2
_chemical_formula_sum 'V4 Fe1 Mo2'
_cell_length_a 4.2521
_cell_length_b 4.2521
_cell_length_c 6.8622
_cell_angle_alpha 71.95
_cell_angle_beta 71.95
_cell_angle_gamma 90.00
_space_group_name_H-M_alt 'P 1'
_space_group_IT_number 1
loop_
_space_group_symop_operation_xyz
'x,y,z'
loop_
_atom_site_label
_atom_site_fract_x
_atom_site_fract_y
_atom_site_fract_z
Mo1 0.3730 0.3730 0.2540
Mo2 0.6270 0.6270 0.7460
Fe1 0.0000 0.0000 0.0000
V1 0.1850 0.1850 0.6300
V2 0.8150 0.8150 0.3700
V3 0.0000 0.5000 0.0000
V4 0.5000 0.0000 0.0000
# Raw total energy = -8.649 eV/atom
# N(E_F) = 1.3264 states/eV per atom
# Total magnetic moment = 0.00 Bohr magnetons per cell
# Formation energy from the elements = 0.87 eV/atom


# PuNb2Ir PBE-GGA optimized geometry
data_PuNb2Ir
_chemical_formula_sum 'Pu1 Nb2 Ir1'
_cell_length_a 2.8779
_cell_length_b 2.8779
_cell_length_c 10.6660
_cell_angle_alpha 82.25
_cell_angle_beta 82.25
_cell_angle_gamma 60.00
_space_group_name_H-M_alt 'P 1'
_space_group_IT_number 1
loop_
_space_group_symop_operation_xyz
'x,y,z'
loop_
_atom_site_label
_atom_site_fract_x
_atom_site_fract_y
_atom_site_fract_z
Nb1 0.0946 0.0946 0.7163
Nb2 0.9054 0.9054 0.2837
Ir1 0.5000 0.5000 0.5000
Pu1 0.0000 0.0000 0.0000
# Raw total energy = -10.577 eV/atom
# N(E_F) = 2.0224 states/eV per atom
# Total magnetic moment = 5.13 Bohr magnetons per cell
# Formation energy from the elements = 0.26 eV/atom


# Tb3BiO6 PBE-GGA optimized geometry
data_Tb3BiO6
_chemical_formula_sum 'Tb6 Bi2 O12'
_cell_length_a 6.8513
_cell_length_b 6.8513
_cell_length_c 6.8513
_cell_angle_alpha 91.32
_cell_angle_beta 91.32
_cell_angle_gamma 91.32
_space_group_name_H-M_alt 'P 1'
_space_group_IT_number 1
loop_
_space_group_symop_operation_xyz
'x,y,z'
loop_
_atom_site_label
_atom_site_fract_x
_atom_site_fract_y
_atom_site_fract_z
Tb1 0.4458 0.9361 0.7486
Tb2 0.9361 0.7486 0.4458
Tb3 0.2514 0.5542 0.0639
Tb4 0.7486 0.4458 0.9361
Tb5 0.0639 0.2514 0.5542
Tb6 0.5542 0.0639 0.2514
Bi1 0.0000 0.0000 0.0000
Bi2 0.5000 0.5000 0.5000
O1 0.3233 0.8963 0.0743
O2 0.1037 0.9257 0.6767
O3 0.6093 0.8265 0.4768
O4 0.9257 0.6767 0.1037
O5 0.4768 0.6093 0.8265
O6 0.1735 0.5232 0.3907
O7 0.8265 0.4768 0.6093
O8 0.5232 0.3907 0.1735
O9 0.0743 0.3233 0.8963
O10 0.3907 0.1735 0.5232
O11 0.8963 0.0743 0.3233
O12 0.6767 0.1037 0.9257
# Raw total energy = -7.683 eV/atom
# Uncorrected formation energy = -29.31 eV per formula unit
# N(E_F) = 0.0000 states/eV per atom
# Total magnetic moment = 0.00 Bohr magnetons per cell


# TePt3Rh PBE-GGA optimized geometry
data_TePt3Rh
_chemical_formula_sum 'Te1 Pt3 Rh1'
_cell_length_a 4.8948
_cell_length_b 4.8948
_cell_length_c 4.8948
_cell_angle_alpha 90.00
_cell_angle_beta 90.00
_cell_angle_gamma 90.00
_space_group_name_H-M_alt 'P 1'
_space_group_IT_number 1
loop_
_space_group_symop_operation_xyz
'x,y,z'
loop_
_atom_site_label
_atom_site_fract_x
_atom_site_fract_y
_atom_site_fract_z
Te1 0.0000 0.0000 0.0000
Rh1 0.5000 0.5000 0.5000
Pt1 0.0000 0.5000 0.0000
Pt2 0.0000 0.0000 0.5000
Pt3 0.5000 0.0000 0.0000
# Raw total energy = -4.541 eV/atom
# Uncorrected formation energy = 5.91 eV per formula unit
# N(E_F) = 1.4494 states/eV per atom
# Total magnetic moment = 1.64 Bohr magnetons per cell
# Excess energy over the best structure of this formula in the dataset = 23.6 meV per atom


# Pr8Nd4Y PBE-GGA optimized geometry
data_Pr8Nd4Y
_chemical_formula_sum 'Pr8 Nd4 Y1'
_cell_length_a 11.9632
_cell_length_b 11.9632
_cell_length_c 7.9652
_cell_angle_alpha 90.00
_cell_angle_beta 138.67
_cell_angle_gamma 120.00
_space_group_name_H-M_alt 'P 1'
_space_group_IT_number 1
loop_
_space_group_symop_operation_xyz
'x,y,z'
loop_
_atom_site_label
_atom_site_fract_x
_atom_site_fract_y
_atom_site_fract_z
Pr1 0.5174 0.7587 0.2762
Pr2 0.4826 0.2413 0.7238
Pr3 0.3354 0.1677 0.0045
Pr4 0.1633 0.3310 0.9955
Pr5 0.6646 0.8323 0.9955
Pr6 0.1633 0.8323 0.9955
Pr7 0.8367 0.1677 0.0045
Pr8 0.8367 0.6690 0.0045
Nd1 0.0000 0.0000 0.0000
Nd2 0.0000 0.5000 0.0000
Nd3 0.5000 0.5000 0.0000
Nd4 0.5000 0.0000 0.0000
Y1 0.0000 0.5000 0.5000
# Raw total energy = -4.521 eV/atom
# N(E_F) = 2.1776 states/eV per atom
# Total magnetic moment = 0.00 Bohr magnetons per cell
# Formation energy from the elements = 0.38 eV/atom


# CaGdDy4 PBE-GGA optimized geometry
data_CaGdDy4
_chemical_formula_sum 'Ca1 Gd1 Dy4'
_cell_length_a 6.6552
_cell_length_b 6.6552
_cell_length_c 6.6552
_cell_angle_alpha 60.00
_cell_angle_beta 60.00
_cell_angle_gamma 60.00
_space_group_name_H-M_alt 'P 1'
_space_group_IT_number 1
loop_
_space_group_symop_operation_xyz
'x,y,z'
loop_
_atom_site_label
_atom_site_fract_x
_atom_site_fract_y
_atom_site_fract_z
Ca1 0.2500 0.2500 0.2500
Gd1 0.0000 0.0000 0.0000
Dy1 0.6259 0.6259 0.1222
Dy2 0.6259 0.1222 0.6259
Dy3 0.6259 0.6259 0.6259
Dy4 0.1222 0.6259 0.6259
# Raw total energy = -5.539 eV/atom
# N(E_F) = 1.7544 states/eV per atom
# Total magnetic moment = 7.67 Bohr magnetons per cell
# Formation energy from the elements = 0.21 eV/atom


# PmSmZnTc PBE-GGA optimized geometry
data_PmSmZnTc
_chemical_formula_sum 'Pm1 Sm1 Zn1 Tc1'
_cell_length_a 5.0408
_cell_length_b 5.0408
_cell_length_c 5.0408
_cell_angle_alpha 60.00
_cell_angle_beta 60.00
_cell_angle_gamma 60.00
_space_group_name_H-M_alt 'P 1'
_space_group_IT_number 1
loop_
_space_group_symop_operation_xyz
'x,y,z'
loop_
_atom_site_label
_atom_site_fract_x
_atom_site_fract_y
_atom_site_fract_z
Zn1 0.5000 0.5000 0.5000
Tc1 0.0000 0.0000 0.0000
Sm1 0.7500 0.7500 0.7500
Pm1 0.2500 0.2500 0.2500
# Raw total energy = -5.331 eV/atom
# N(E_F) = 0.4180 states/eV per atom
# Total magnetic moment = 0.00 Bohr magnetons per cell
# Formation energy from the elements = -0.05 eV/atom


# ZrAg PBE-GGA optimized geometry
data_ZrAg
_chemical_formula_sum 'Zr16 Ag16'
_cell_length_a 10.9303
_cell_length_b 8.3773
_cell_length_c 7.6377
_cell_angle_alpha 90.00
_cell_angle_beta 90.00
_cell_angle_gamma 90.00
_space_group_name_H-M_alt 'P 1'
_space_group_IT_number 1
loop_
_space_group_symop_operation_xyz
'x,y,z'
loop_
_atom_site_label
_atom_site_fract_x
_atom_site_fract_y
_atom_site_fract_z
Zr1 0.0000 0.3137 0.0000
Zr2 0.0000 0.6863 0.0000
Zr3 0.2500 0.4363 0.2500
Zr4 0.2500 0.0637 0.2500
Zr5 0.0000 0.8137 0.5000
Zr6 0.0000 0.1863 0.5000
Zr7 0.2500 0.9363 0.7500
Zr8 0.2500 0.5637 0.7500
Zr9 0.5000 0.3137 0.5000
Zr10 0.5000 0.6863 0.5000
Zr11 0.7500 0.4363 0.7500
Zr12 0.7500 0.0637 0.7500
Zr13 0.5000 0.8137 0.0000
Zr14 0.5000 0.1863 0.0000
Zr15 0.7500 0.9363 0.2500
Zr16 0.7500 0.5637 0.2500
Ag1 0.0000 0.0000 0.1749
Ag2 0.0000 0.0000 0.8251
Ag3 0.2500 0.7500 0.0751
Ag4 0.2500 0.7500 0.4249
Ag5 0.0000 0.5000 0.6749
Ag6 0.0000 0.5000 0.3251
Ag7 0.2500 0.2500 0.5751
Ag8 0.2500 0.2500 0.9249
Ag9 0.5000 0.0000 0.6749
Ag10 0.5000 0.0000 0.3251
Ag11 0.7500 0.7500 0.5751
Ag12 0.7500 0.7500 0.9249
Ag13 0.5000 0.5000 0.1749
Ag14 0.5000 0.5000 0.8251
Ag15 0.7500 0.2500 0.0751
Ag16 0.7500 0.2500 0.4249
# Raw total energy = -5.454 eV/atom
# N(E_F) = 1.0105 states/eV per atom
# Total magnetic moment = 0.00 Bohr magnetons per cell
# Formation energy from the elements = 0.25 eV/atom


# Ta2MnTe PBE-GGA optimized geometry
data_Ta2MnTe
_chemical_formula_sum 'Ta2 Mn1 Te1'
_cell_length_a 3.0846
_cell_length_b 3.0846
_cell_length_c 7.4270
_cell_angle_alpha 90.00
_cell_angle_beta 90.00
_cell_angle_gamma 92.99
_space_group_name_H-M_alt 'P 1'
_space_group_IT_number 1
loop_
_space_group_symop_operation_xyz
'x,y,z'
loop_
_atom_site_label
_atom_site_fract_x
_atom_site_fract_y
_atom_site_fract_z
Mn1 0.5000 0.5000 0.7500
Ta1 0.0000 0.0000 0.9565
Ta2 0.0000 0.0000 0.5435
Te1 0.5000 0.5000 0.2500
# Raw total energy = -8.765 eV/atom
# Uncorrected formation energy = 0.96 eV per formula unit
# N(E_F) = 0.8997 states/eV per atom
# Total magnetic moment = 0.00 Bohr magnetons per cell


# NiOs3Pb PBE-GGA optimized geometry
data_NiOs3Pb
_chemical_formula_sum 'Ni1 Os3 Pb1'
_cell_length_a 4.5221
_cell_length_b 4.5221
_cell_length_c 4.5221
_cell_angle_alpha 90.00
_cell_angle_beta 90.00
_cell_angle_gamma 90.00
_space_group_name_H-M_alt 'P 1'
_space_group_IT_number 1
loop_
_space_group_symop_operation_xyz
'x,y,z'
loop_
_atom_site_label
_atom_site_fract_x
_atom_site_fract_y
_atom_site_fract_z
Pb1 0.5000 0.5000 0.5000
Ni1 0.0000 0.0000 0.0000
Os1 0.0000 0.5000 0.0000
Os2 0.0000 0.0000 0.5000
Os3 0.5000 0.0000 0.0000
# Raw total energy = -6.817 eV/atom
# N(E_F) = 1.4391 states/eV per atom
# Total magnetic moment = 2.74 Bohr magnetons per cell
# Formation energy from the elements = 1.82 eV/atom
# Excess energy over the best structure of this formula in the dataset = 0.0 meV per atom